Record 1
## Rb2Sn2Hg3S8 (PBE)

Data for a relaxed Rb2Sn2Hg3S8 crystal.

The structure in POSCAR format:
```
Rb2Sn2Hg3S8
1.0
10.295 0.000 0.000
0.000 6.776 0.000
-1.597 0.000 13.705
Rb Sn Hg S
4 4 6 16
direct
0.225 0.159 0.316
0.225 0.341 0.816
0.775 0.659 0.184
0.775 0.841 0.684
0.285 0.693 0.080
0.285 0.807 0.580
0.715 0.193 0.420
0.715 0.307 0.920
0.000 0.000 0.000
0.000 0.500 0.500
0.498 0.214 0.120
0.498 0.286 0.620
0.502 0.714 0.380
0.502 0.786 0.880
0.080 0.689 0.639
0.080 0.811 0.139
0.270 0.695 0.412
0.270 0.805 0.912
0.272 0.165 0.583
0.272 0.335 0.083
0.468 0.669 0.679
0.468 0.831 0.179
0.532 0.169 0.821
0.532 0.331 0.321
0.728 0.665 0.917
0.728 0.835 0.417
0.730 0.195 0.088
0.730 0.305 0.588
0.920 0.189 0.861
0.920 0.311 0.361
```

Properties
total magnetization: 0.00 μB per atom
volume: 31.868 A^3/atom
E_form (uncorrected): -8.0 eV per formula unit



Record 2
## ZrBeCo (PBE)

Data for a relaxed ZrBeCo crystal.

The structure in POSCAR format:
```
ZrBeCo
1.0
-1.516 1.516 4.457
1.516 -1.516 4.457
1.516 1.516 -4.457
Zr Be Co
1 1 1
direct
0.000 0.000 0.000
0.700 0.700 0.000
0.296 0.296 0.000
```

Properties
total magnetization: 0.29 μB per atom
formation enthalpy at 0 K: -0.147 eV per atom
offset from the most stable computed form: 0.185 eV/atom
volume: 13.655 A^3/atom



Record 3
## Na2AgSn4 (PBE)

Data for a relaxed Na2AgSn4 crystal.

The structure in POSCAR format:
```
Na2AgSn4
1.0
-2.710 2.710 7.866
2.710 -2.710 7.866
2.710 2.710 -7.866
Na Ag Sn
2 1 4
direct
0.129 0.129 0.000
0.871 0.871 0.000
0.500 0.500 0.000
0.000 0.500 0.500
0.325 0.325 0.000
0.500 0.000 0.500
0.675 0.675 0.000
```

Properties
total magnetization: 0.00 μB per atom
formation enthalpy at 0 K: 0.262 eV per atom
offset from the most stable computed form: 0.212 eV/atom
volume: 33.008 A^3/atom



Record 4
## SrMnPAu (PBE)

Data for a relaxed SrMnPAu crystal.

The structure in POSCAR format:
```
SrMnPAu
1.0
3.842 0.000 0.000
0.000 3.842 0.000
0.000 0.000 11.111
Sr Mn P Au
2 2 2 2
direct
0.250 0.250 0.242
0.750 0.750 0.758
0.250 0.750 0.500
0.750 0.250 0.500
0.250 0.250 0.616
0.750 0.750 0.384
0.250 0.750 0.000
0.750 0.250 0.000
```

Properties
total magnetization: 0.39 μB per atom
formation enthalpy at 0 K: -0.681 eV per atom
volume: 20.502 A^3/atom



Record 5
## ReGe2Ru (PBE)

Data for a relaxed ReGe2Ru crystal.

The structure in POSCAR format:
```
ReGe2Ru
1.0
-3.338 3.338 2.961
3.338 -3.338 2.961
3.338 3.338 -2.961
Re Ge Ru
2 4 2
direct
0.000 0.000 0.000
0.750 0.250 0.500
0.132 0.125 0.507
0.375 0.868 0.993
0.618 0.625 0.493
0.875 0.382 0.007
0.250 0.750 0.500
0.500 0.500 0.000
```

Properties
total magnetization: 0.00 μB per atom
formation enthalpy at 0 K: 0.715 eV per atom
offset from the most stable computed form: 0.672 eV/atom
volume: 16.500 A^3/atom



Record 6
## LiTlNi (PBE)

Data for a relaxed LiTlNi crystal.

The structure in POSCAR format:
```
LiTlNi
1.0
0.000 3.054 3.054
3.054 0.000 3.054
3.054 3.054 0.000
Li Tl Ni
1 1 1
direct
0.000 0.000 0.000
0.500 0.500 0.500
0.750 0.750 0.750
```

Properties
total magnetization: 0.00 μB per atom
formation enthalpy at 0 K: 0.128 eV per atom
offset from the most stable computed form: 0.083 eV/atom
volume: 18.999 A^3/atom



Record 7
## PmMn3C2 (PBE)

Data for a relaxed PmMn3C2 crystal.

The structure in POSCAR format:
```
PmMn3C2
1.0
6.050 -1.776 0.000
6.050 1.776 0.000
-3.210 0.000 6.605
Pm Mn C
2 6 4
direct
0.136 0.136 0.037
0.864 0.864 0.963
0.063 0.063 0.410
0.287 0.287 0.599
0.400 0.400 0.337
0.600 0.600 0.663
0.713 0.713 0.401
0.937 0.937 0.590
0.178 0.178 0.722
0.466 0.466 0.740
0.534 0.534 0.260
0.822 0.822 0.278
```

Properties
total magnetization: 0.00 μB per atom
formation enthalpy at 0 K: -0.096 eV per atom
volume: 11.826 A^3/atom



Record 8
## NaCdPb6 (PBE)

Data for a relaxed NaCdPb6 crystal.

The structure in POSCAR format:
```
NaCdPb6
1.0
4.978 0.000 0.000
0.000 4.978 0.000
0.000 0.000 9.632
Na Cd Pb
1 1 6
direct
0.000 0.000 0.000
0.000 0.000 0.500
0.000 0.500 0.254
0.000 0.500 0.746
0.500 0.000 0.254
0.500 0.000 0.746
0.500 0.500 0.000
0.500 0.500 0.500
```

Properties
total magnetization: 0.00 μB per atom
formation enthalpy at 0 K: -0.033 eV per atom
offset from the most stable computed form: 0.000 eV/atom
volume: 29.838 A^3/atom



Record 9
## NdGdIrRh (PBE)

Data for a relaxed NdGdIrRh crystal.

The structure in POSCAR format:
```
NdGdIrRh
1.0
0.000 3.503 3.503
3.503 0.000 3.503
3.503 3.503 0.000
Nd Gd Ir Rh
1 1 1 1
direct
0.000 0.000 0.000
0.500 0.500 0.500
0.750 0.750 0.750
0.250 0.250 0.250
```

Properties
total magnetization: 1.74 μB per atom
formation enthalpy at 0 K: -0.696 eV per atom
volume: 21.499 A^3/atom



Record 10
## ZnAg2Au (PBE)

Data for a relaxed ZnAg2Au crystal.

The structure in POSCAR format:
```
ZnAg2Au
1.0
1.478 0.854 9.124
-1.478 0.854 9.124
0.000 -1.707 9.124
Zn Ag Au
1 2 1
direct
0.000 0.000 0.000
0.254 0.254 0.254
0.500 0.500 0.500
0.745 0.745 0.745
```

Properties
total magnetization: 0.00 μB per atom
formation enthalpy at 0 K: -0.042 eV per atom
volume: 17.271 A^3/atom